A relaxed structure of CuAs2Br, computed with PBE.

Cell lengths 7.0845, 3.7733, 7.2559 Å; angles 90.00, 115.21, 90.00 degrees
Last column: nearest neighbours and their distance in Å.
Positions (direct):
Cu: 0.0000 0.0000 0.0000  6 As 2.42-2.51
Cu: 0.5000 0.5000 0.0000  6 As 2.42-2.51
As: 0.2461 0.0000 0.8495  3 Cu 2.42-2.51
As: 0.2539 0.5000 0.1505  3 Cu 2.42-2.51
As: 0.7461 0.5000 0.8495  3 Cu 2.42-2.51
As: 0.7539 0.0000 0.1505  3 Cu 2.42-2.51
Br: 0.0000 0.5000 0.5000  4 As 3.04
Br: 0.5000 0.0000 0.5000  4 As 3.04

The value obtained for the total energy is -0.1369 Ha/atom. The calculation puts the energy above the most stable polymorph in this dataset at 67 meV per atom. As for the space-group type: No. 12.

***

A relaxed structure of YMg2ReAg, computed with PBE.

Cell lengths 4.9709, 4.9709, 5.0865 Å; angles 90.00, 90.00, 90.00 degrees
Last column: nearest neighbours and their distance in Å.
Positions (direct):
Y: 0.0000 0.0000 0.0000  4 Ag 3.51, 8 Mg 3.56
Mg: 0.0000 0.5000 0.5000  2 Re 2.49
Mg: 0.5000 0.0000 0.5000  2 Re 2.49
Re: 0.5000 0.5000 0.5000  4 Mg 2.49, 2 Ag 2.54
Ag: 0.5000 0.5000 0.0000  2 Re 2.54

The value obtained for the total energy is -0.1544 Ha/atom. The formation energy is 0.788 eV/atom. As for the space-group type: No. 123.

***

A relaxed structure of Ba2Ga2PdO6, computed with PBE.

Cell lengths 6.6775, 6.6775, 6.6775 Å; angles 53.11, 53.11, 53.11 degrees
Last column: nearest neighbours and their distance in Å.
Positions (direct):
Ba: 0.2156 0.2156 0.2156  9 O 2.80-3.05
Ba: 0.7844 0.7844 0.7844  9 O 2.80-3.05
Ga: 0.4236 0.4236 0.4236  3 O 1.82
Ga: 0.5764 0.5764 0.5764  3 O 1.82
Pd: 0.0000 0.0000 0.0000  6 O 2.16
O: 0.2323 0.7598 0.7598  1 Ga 1.82
O: 0.2402 0.2402 0.7677  1 Ga 1.82
O: 0.2402 0.7677 0.2402  1 Ga 1.82
O: 0.7598 0.2323 0.7598  1 Ga 1.82
O: 0.7598 0.7598 0.2323  1 Ga 1.82
O: 0.7677 0.2402 0.2402  1 Ga 1.82

The value obtained for the total energy is -0.2104 Ha/atom. As for the space-group type: No. 166.

***

A relaxed structure of HfRhW3, computed with PBE.

Cell lengths 4.7066, 4.7066, 4.7066 Å; angles 90.00, 90.00, 90.00 degrees
Last column: nearest neighbours and their distance in Å.
Positions (direct):
Hf: 0.0000 0.0000 0.0000  12 W 3.33
Rh: 0.5000 0.5000 0.5000  6 W 2.35
W: 0.0000 0.5000 0.5000  2 Rh 2.35
W: 0.5000 0.0000 0.5000  2 Rh 2.35
W: 0.5000 0.5000 0.0000  2 Rh 2.35

The value obtained for the total energy is -0.3533 Ha/atom. The calculation puts the energy above the most stable polymorph in this dataset at 0 meV per atom. The formation energy is 1.618 eV/atom. As for the space-group type: No. 221.

***

A relaxed structure of Li3ErAu3, computed with PBE.

Cell lengths 6.6870, 6.6870, 6.6870 Å; angles 90.00, 90.00, 90.00 degrees
Last column: nearest neighbours and their distance in Å.
Positions (direct):
Li: 0.0000 0.2500 0.5000  4 Au 2.36
Li: 0.0000 0.7500 0.5000  4 Au 2.36
Li: 0.2500 0.5000 0.0000  4 Au 2.36
Li: 0.5000 0.0000 0.2500  4 Au 2.36
Li: 0.5000 0.0000 0.7500  4 Au 2.36
Li: 0.7500 0.5000 0.0000  4 Au 2.36
Er: 0.0000 0.0000 0.0000  12 Li 3.74, 12 Au 3.74
Er: 0.5000 0.5000 0.5000  12 Li 3.74, 12 Au 3.74
Au: 0.0000 0.5000 0.2500  4 Li 2.36
Au: 0.0000 0.5000 0.7500  4 Li 2.36
Au: 0.2500 0.0000 0.5000  4 Li 2.36
Au: 0.5000 0.2500 0.0000  4 Li 2.36
Au: 0.5000 0.7500 0.0000  4 Li 2.36
Au: 0.7500 0.0000 0.5000  4 Li 2.36

The value obtained for the total energy is -0.1086 Ha/atom. The calculation puts the energy above the most stable polymorph in this dataset at 430 meV per atom. The formation energy is -0.079 eV/atom. As for the space-group type: No. 223.

***

A relaxed structure of TcGe2Pd2, computed with PBE.

Cell lengths 7.1948, 7.1948, 2.9708 Å; angles 90.00, 90.00, 90.00 degrees
Last column: nearest neighbours and their distance in Å.
Positions (direct):
Tc: 0.0000 0.0000 0.0000  4 Ge 2.71, 2 Tc 2.97
Tc: 0.5000 0.5000 0.0000  4 Ge 2.71, 2 Tc 2.97
Ge: 0.1589 0.3411 0.0000  6 Pd 2.52-2.62, 2 Tc 2.71
Ge: 0.3411 0.8411 0.0000  6 Pd 2.52-2.62, 2 Tc 2.71
Ge: 0.6589 0.1589 0.0000  6 Pd 2.52-2.62, 2 Tc 2.71
Ge: 0.8411 0.6589 0.0000  6 Pd 2.52-2.62, 2 Tc 2.71
Pd: 0.1407 0.6407 0.5000  6 Ge 2.52-2.62
Pd: 0.3593 0.1407 0.5000  6 Ge 2.52-2.62
Pd: 0.6407 0.8593 0.5000  6 Ge 2.52-2.62
Pd: 0.8593 0.3593 0.5000  6 Ge 2.52-2.62

The value obtained for the total energy is -0.2234 Ha/atom. The formation energy is -0.080 eV/atom. As for the space-group type: No. 127.